Entry from Alexandria via LeMat-Bulk: a PBEsol-optimized structure of NaNbSnPd2 (meta-GGA SCAN).

abc: 4.4317 4.4317 4.9040
angles: 90.00 90.00 90.00
Element x y z (fractional)
Na1 0.0000 0.0000 0.0000
Nb1 0.0000 0.0000 0.5000
Sn1 0.5000 0.5000 0.5000
Pd1 0.0000 0.5000 0.0000
Pd2 0.5000 0.0000 0.0000

=====

Entry from Alexandria via LeMat-Bulk: a PBEsol-optimized structure of NaZrNbPt2 (meta-GGA SCAN).

abc: 4.9283 4.9283 4.8827
angles: 90.00 90.00 90.00
Element x y z (fractional)
Na1 0.0000 0.0000 0.0000
Zr1 0.5000 0.5000 0.0000
Nb1 0.5000 0.5000 0.5000
Pt1 0.0000 0.5000 0.5000
Pt2 0.5000 0.0000 0.5000

=====

Entry from Alexandria via LeMat-Bulk: a PBEsol-optimized structure of RbNa3Nb (meta-GGA SCAN).

abc: 5.8411 5.8411 5.8411
angles: 90.00 90.00 90.00
Element x y z (fractional)
Rb1 0.0000 0.0000 0.0000
Na1 0.0000 0.0000 0.5000
Na2 0.0000 0.5000 0.0000
Na3 0.5000 0.0000 0.0000
Nb1 0.5000 0.5000 0.5000

=====

Entry from Alexandria via LeMat-Bulk: a PBEsol-optimized structure of NaNbRe2Sn (meta-GGA SCAN).

abc: 4.7927 4.7927 5.3223
angles: 90.00 90.00 90.00
Element x y z (fractional)
Na1 0.0000 0.0000 0.0000
Nb1 0.5000 0.5000 0.5000
Re1 0.0000 0.5000 0.5000
Re2 0.5000 0.0000 0.5000
Sn1 0.5000 0.5000 0.0000

=====

Entry from Alexandria via LeMat-Bulk: a PBEsol-optimized structure of Na3NbRh (meta-GGA SCAN).

abc: 5.1386 5.1386 5.1386
angles: 90.00 90.00 90.00
Element x y z (fractional)
Na1 0.0000 0.0000 0.5000
Na2 0.0000 0.5000 0.0000
Na3 0.5000 0.0000 0.0000
Nb1 0.5000 0.5000 0.5000
Rh1 0.0000 0.0000 0.0000

Output
**Relative energy among the computed polymorphs**: 0 meV per atom

=====

Entry from Alexandria via LeMat-Bulk: a PBEsol-optimized structure of NaNbRh3 (meta-GGA SCAN).

abc: 4.7094 4.7094 4.7094
angles: 90.00 90.00 90.00
Element x y z (fractional)
Na1 0.0000 0.0000 0.0000
Nb1 0.5000 0.5000 0.5000
Rh1 0.0000 0.5000 0.5000
Rh2 0.5000 0.0000 0.5000
Rh3 0.5000 0.5000 0.0000

=====

Entry from Alexandria via LeMat-Bulk: a PBEsol-optimized structure of NaNb2Rh (meta-GGA SCAN).

abc: 4.5437 4.5437 4.5437
angles: 60.00 60.00 60.00
Element x y z (fractional)
Na1 0.0000 0.0000 0.0000
Nb1 0.2500 0.2500 0.2500
Nb2 0.7500 0.7500 0.7500
Rh1 0.5000 0.5000 0.5000

=====

Entry from Alexandria via LeMat-Bulk: a PBEsol-optimized structure of Na3NbRh (meta-GGA SCAN).

abc: 5.5384 5.5384 5.5384
angles: 90.00 90.00 90.00
Element x y z (fractional)
Na1 0.0000 0.0000 0.5000
Na2 0.0000 0.5000 0.0000
Na3 0.5000 0.0000 0.0000
Nb1 0.0000 0.0000 0.0000
Rh1 0.5000 0.5000 0.5000

Output
**Relative energy among the computed polymorphs**: 483 meV per atom

=====

| no. | DOS(E_F) (states/eV per atom) | E_form (eV/atom) |
| --- | --- | --- |
| 1 | 0.713 | 1.1438 |
| 2 | 0.651 | 0.5049 |
| 3 | 0.897 | 1.3489 |
| 4 | 0.878 | 1.6456 |
| 5 | 1.181 | 1.3373 |
| 6 | 0.770 | 0.7518 |
| 7 | 1.066 | 0.4653 |
| 8 | 0.895 | 1.8204 |